Entry from the Alexandria database: a geometry-optimized SrMg14Sb structure (PBE).

The structure in POSCAR format:
```
SrMg14Sb
1.0
10.576 0.000 0.000
0.000 3.204 5.813
0.000 -3.204 5.813
Sr Mg Sb
1 14 1
direct
0.000 0.000 0.000
0.000 0.005 0.495
0.000 0.495 0.005
0.240 0.661 0.661
0.260 0.164 0.164
0.262 0.158 0.656
0.262 0.656 0.158
0.500 0.500 0.991
0.500 0.501 0.501
0.500 0.991 0.500
0.500 0.998 0.998
0.738 0.158 0.656
0.738 0.656 0.158
0.740 0.164 0.164
0.760 0.661 0.661
0.000 0.484 0.484
```

For the energy above the most stable polymorph in this dataset, the calculation gives 0.00 eV/f.u. The formation energy without anion corrections comes out at -0.55 eV/f.u. The raw total energy is -1.793 eV per atom.